AcMgAg: relaxed, GGA-PBE.

## Properties
E above lowest polymorph: 40 meV per atom
Symmetry: P4/nmm (129)
ΔH_f (0 K): -0.224 eV/atom

Cell: 4.5671 4.5677 8.2078 Å, 90.01 90.00 90.00°
Last column: nearest neighbours and their distance in Å.
Fractional positions:
Mg1 0.8137 0.3663 0.9196  4 Ag 2.90, 4 Mg 3.23
Mg2 0.3137 0.8663 0.9196  4 Ag 2.90, 4 Mg 3.23
Ac1 0.8134 0.8665 0.5710  5 Ag 3.40-3.56, 4 Mg 3.66
Ac2 0.3136 0.3666 0.2682  5 Ag 3.40-3.56, 4 Mg 3.66
Ag1 0.3134 0.3664 0.7021  4 Mg 2.90
Ag2 0.8137 0.8666 0.1371  4 Mg 2.90

***

Sc2CoRe: relaxed, GGA-PBE.

## Properties
Symmetry: R-3m (166)
ΔH_f (0 K): 0.171 eV/atom

Cell: 8.6922 8.6922 8.6922 Å, 19.81 19.81 19.81°
Last column: nearest neighbours and their distance in Å.
Fractional positions:
Sc1 0.9942 0.9942 0.9942  3 Co 2.63, 3 Re 2.86
Sc2 0.5058 0.5058 0.5058  3 Co 2.63, 3 Re 2.86
Co1 0.2500 0.2500 0.2500  6 Sc 2.63
Re1 0.7500 0.7500 0.7500  6 Sc 2.86, 6 Re 2.99

***

Ho4NiSe3: relaxed, GGA-PBE.

## Properties
Total energy: -45.8 eV for the cell shown
Symmetry: Cmmm (65)

Cell: 3.9329 7.0972 7.0972 Å, 108.55 90.00 90.00°
Last column: nearest neighbours and their distance in Å.
Fractional positions:
Ni1 0.5000 0.0000 0.0000  6 Ho 2.70-2.78
Se1 0.0000 0.5000 0.0000  6 Ho 2.86-2.89
Se2 0.0000 0.0000 0.5000  6 Ho 2.86-2.89
Se3 0.5000 0.5000 0.5000  6 Ho 2.99-3.02
Ho1 0.5000 0.7591 0.2409  1 Ni 2.78, 5 Se 2.86-2.99
Ho2 0.0000 0.7760 0.7760  2 Ni 2.70, 4 Se 2.89-3.02
Ho3 0.0000 0.2240 0.2240  2 Ni 2.70, 4 Se 2.89-3.02
Ho4 0.5000 0.2409 0.7591  1 Ni 2.78, 5 Se 2.86-2.99

***

NiAs2Pb: relaxed, GGA-PBE.

## Properties
Symmetry: Cmmm (65)
ΔH_f (0 K): 0.417 eV/atom

Cell: 4.7058 4.7058 3.8608 Å, 90.00 90.00 107.37°
Last column: nearest neighbours and their distance in Å.
Fractional positions:
As1 0.5000 0.5000 0.0000  2 As 2.79, 4 Pb 3.04, 4 Ni 3.04
As2 0.0000 0.0000 0.0000  2 As 2.79, 4 Ni 3.04, 4 Pb 3.04
Pb1 0.0000 0.5000 0.5000  2 Ni 2.79, 8 As 3.04
Ni1 0.5000 0.0000 0.5000  2 Pb 2.79, 8 As 3.04

***

LiTmGa4Pt2: relaxed, GGA-PBE.

## Properties
Symmetry: R-3m (166)
ΔH_f (0 K): -0.697 eV/atom

Cell: 4.2938 4.2938 8.7201 Å, 75.75 75.75 60.00°
Last column: nearest neighbours and their distance in Å.
Fractional positions:
Pt1 0.2378 0.2378 0.2865  7 Ga 2.62-2.70
Pt2 0.7622 0.7622 0.7135  7 Ga 2.62-2.70
Li1 0.5000 0.5000 0.5000  8 Ga 2.62-2.64
Ga1 0.6046 0.6046 0.1861  3 Pt 2.62, 1 Li 2.62, 3 Tm 2.93
Ga2 0.3954 0.3954 0.8139  3 Pt 2.62, 1 Li 2.62, 3 Tm 2.93
Ga3 0.8698 0.8698 0.3905  4 Pt 2.63-2.70, 3 Li 2.64
Ga4 0.1302 0.1302 0.6095  4 Pt 2.63-2.70, 3 Li 2.64
Tm1 0.0000 0.0000 0.0000  8 Ga 2.93-3.26

***

Rb2MgSiSe4: relaxed, GGA-PBE.

## Properties
Total energy: -62.3 eV for the cell shown
Symmetry: Fddd (70)

Cell: 6.1495 7.7461 13.0249 Å, 84.62 76.35 66.61°
Last column: nearest neighbours and their distance in Å.
Fractional positions:
Rb1 0.9315 0.5000 0.1370  8 Se 3.64-3.97
Rb2 0.8185 0.0000 0.3630  8 Se 3.64-3.97
Rb3 0.1815 0.0000 0.6370  8 Se 3.64-3.97
Rb4 0.5685 0.5000 0.8630  8 Se 3.64-3.97
Si1 0.5000 0.0000 0.0000  4 Se 2.31
Si2 0.2500 0.5000 0.5000  4 Se 2.31
Mg1 0.7500 0.5000 0.5000  4 Se 2.56
Mg2 0.0000 0.0000 0.0000  4 Se 2.56
Se1 0.1799 0.3092 0.3968  1 Si 2.31, 1 Mg 2.56
Se2 0.5110 0.3092 0.6032  1 Si 2.31, 1 Mg 2.56
Se3 0.4233 0.6908 0.3968  1 Si 2.31, 1 Mg 2.56
Se4 0.5701 0.1908 0.1032  1 Si 2.31, 1 Mg 2.56
Se5 0.3267 0.8092 0.1032  1 Si 2.31, 1 Mg 2.56
Se6 0.8641 0.8092 0.8968  1 Si 2.31, 1 Mg 2.56
Se7 0.8859 0.6908 0.6032  1 Si 2.31, 1 Mg 2.56
Se8 0.2390 0.1908 0.8968  1 Si 2.31, 1 Mg 2.56

***

CsTl2AsI6: relaxed, GGA-PBE.

## Properties
Total energy: -25.7 eV for the cell shown
Symmetry: P1 (1)

Cell: 8.6561 8.6537 9.1178 Å, 61.64 61.62 59.92°
Last column: nearest neighbours and their distance in Å.
Fractional positions:
As1 0.3292 0.3291 0.0126  6 I 2.89-2.93
Cs1 0.8131 0.8133 0.5596  6 I 3.78-4.08
I1 0.2619 0.9798 0.2270  1 As 2.89
I2 0.3751 0.6906 0.7780  1 As 2.93
I3 0.5313 0.2621 0.2268  1 As 2.89
I4 0.1560 0.3752 0.7784  1 As 2.93
I5 0.6909 0.1554 0.7786  1 As 2.93
I6 0.9794 0.5321 0.2267  1 As 2.89
Tl1 0.5228 0.5224 0.4320  6 I 3.50-3.52
Tl2 0.0018 0.0017 0.9954  6 I 3.45-3.64

***

Tb3HoTm7: relaxed, GGA-PBE.

## Properties
E above lowest polymorph: 0 meV per atom
Symmetry: P2/m (10)
ΔH_f (0 K): 0.162 eV/atom

Cell: 5.4379 9.9047 8.7416 Å, 106.15 128.48 89.99°
Last column: nearest neighbours and their distance in Å.
Fractional positions:
Tm1 0.0914 0.1696 0.0914  3 Tm 3.14-3.25, 1 Ho 3.47, 4 Tb 3.48
Tm2 0.6790 0.3607 0.1790  5 Tm 3.23-3.50, 2 Ho 3.46, 3 Tb 3.46-3.62
Tm3 0.9086 0.8304 0.9086  3 Tm 3.14-3.25, 1 Ho 3.47, 4 Tb 3.48
Tm4 0.5000 0.0000 0.5000  4 Tb 3.33
Tm5 0.1405 0.2902 0.6404  3 Tm 3.23-3.50, 2 Tb 3.29-3.31
Tm6 0.8595 0.7098 0.3596  3 Tm 3.23-3.50, 2 Tb 3.29-3.31
Tm7 0.3210 0.6393 0.8210  5 Tm 3.23-3.50, 2 Ho 3.46, 3 Tb 3.46-3.62
Tb1 0.0000 0.5000 0.0000  2 Ho 3.42, 10 Tm 3.46-3.76
Tb2 0.2818 0.0035 0.7821  1 Tb 3.01, 4 Tm 3.29-3.33
Tb3 0.7182 0.9965 0.2179  1 Tb 3.01, 4 Tm 3.29-3.33
Ho1 0.5000 0.5000 0.5000  2 Tb 3.42, 10 Tm 3.46-3.75

***

AgSbCl: relaxed, GGA-PBE.

## Properties
E above lowest polymorph: 154 meV per atom
Symmetry: Fmm2 (42)

Cell: 7.2809 6.9653 3.4013 Å, 81.41 71.07 27.51°
Last column: nearest neighbours and their distance in Å.
Fractional positions:
Ag1 0.9909 0.9909 0.0091  2 Cl 2.57, 2 Sb 2.84
Sb1 0.6492 0.6492 0.3508  2 Ag 2.84
Cl1 0.3599 0.3599 0.6401  2 Ag 2.57

***

GeI2Cl: relaxed, GGA-PBE.

## Properties
E above lowest polymorph: 165 meV per atom
Symmetry: Fm-3m (225)

Cell: 5.3921 5.3921 5.3921 Å, 60.00 60.00 60.00°
Last column: nearest neighbours and their distance in Å.
Fractional positions:
Ge1 0.5000 0.5000 0.5000  8 I 3.30
Cl1 0.0000 0.0000 0.0000  8 I 3.30
I1 0.2500 0.2500 0.2500  4 Ge 3.30, 4 Cl 3.30
I2 0.7500 0.7500 0.7500  4 Ge 3.30, 4 Cl 3.30

***

ReAgTe2: relaxed, GGA-PBE.

## Properties
E above lowest polymorph: 377 meV per atom
Symmetry: P2/m (10)

Cell: 3.4124 7.3463 5.7678 Å, 37.65 90.00 90.00°
Last column: nearest neighbours and their distance in Å.
Fractional positions:
Re1 0.0000 0.0000 0.5000  6 Te 2.82-2.88
Te1 0.5000 0.5000 0.0000  4 Re 2.82, 2 Ag 2.88
Te2 0.0000 0.0000 0.0000  4 Ag 2.82, 2 Re 2.88
Ag1 0.5000 0.5000 0.5000  6 Te 2.82-2.88

***

AcSm2ErSe4: relaxed, GGA-PBE.

## Properties
Total energy: -46.2 eV for the cell shown
Symmetry: P2/m (10)

Cell: 4.1406 7.2073 7.5171 Å, 71.49 90.00 90.00°
Last column: nearest neighbours and their distance in Å.
Fractional positions:
Se1 0.0000 0.7579 0.7310  3 Sm 2.90-3.06, 1 Er 2.92, 2 Ac 3.07
Se2 0.5000 0.2542 0.7332  3 Sm 2.91-3.05, 2 Er 2.92, 1 Ac 3.07
Se3 0.5000 0.7458 0.2668  3 Sm 2.91-3.05, 2 Er 2.92, 1 Ac 3.07
Se4 0.0000 0.2421 0.2690  3 Sm 2.90-3.06, 1 Er 2.92, 2 Ac 3.07
Er1 0.0000 0.5000 0.5000  6 Se 2.92
Ac1 0.5000 0.5000 0.0000  6 Se 3.07
Sm1 0.5000 0.0000 0.5000  6 Se 2.90-2.91
Sm2 0.0000 0.0000 0.0000  6 Se 3.05-3.06

***

LaTb3H8: relaxed, GGA-PBE.

## Properties
Total energy: -53.9 eV for the cell shown
Symmetry: Pm-3m (221)

Cell: 5.3222 5.3222 5.3222 Å, 90.00 90.00 90.00°
Last column: nearest neighbours and their distance in Å.
Fractional positions:
La1 0.0000 0.0000 0.0000  8 H 2.40
H1 0.2603 0.7397 0.2603  3 Tb 2.27, 1 La 2.40
H2 0.2603 0.7397 0.7397  3 Tb 2.27, 1 La 2.40
H3 0.7397 0.7397 0.2603  3 Tb 2.27, 1 La 2.40
H4 0.7397 0.7397 0.7397  3 Tb 2.27, 1 La 2.40
H5 0.7397 0.2603 0.2603  3 Tb 2.27, 1 La 2.40
H6 0.7397 0.2603 0.7397  3 Tb 2.27, 1 La 2.40
H7 0.2603 0.2603 0.7397  3 Tb 2.27, 1 La 2.40
H8 0.2603 0.2603 0.2603  3 Tb 2.27, 1 La 2.40
Tb1 0.5000 0.0000 0.5000  8 H 2.27
Tb2 0.5000 0.5000 0.0000  8 H 2.27
Tb3 0.0000 0.5000 0.5000  8 H 2.27

***

PmPd12Au6: relaxed, GGA-PBE.

## Properties
Symmetry: R-3m (166)
ΔH_f (0 K): 0.016 eV/atom

Cell: 7.4445 7.4445 7.4445 Å, 105.81 105.81 105.81°
Last column: nearest neighbours and their distance in Å.
Fractional positions:
Pd1 0.1043 0.3438 0.3438  4 Pd 2.74-2.84, 4 Au 2.80-2.87, 1 Pm 2.82
Pd2 0.6562 0.6562 0.8957  4 Pd 2.74-2.84, 4 Au 2.80-2.87, 1 Pm 2.82
Pd3 0.1104 0.8896 0.5000  3 Pd 2.62-2.74, 4 Au 2.71-2.78
Pd4 0.1104 0.5000 0.8896  3 Pd 2.62-2.74, 4 Au 2.71-2.78
Pd5 0.8896 0.1104 0.5000  3 Pd 2.62-2.74, 4 Au 2.71-2.78
Pd6 0.6562 0.8957 0.6562  4 Pd 2.74-2.84, 4 Au 2.80-2.87, 1 Pm 2.82
Pd7 0.5000 0.1104 0.8896  3 Pd 2.62-2.74, 4 Au 2.71-2.78
Pd8 0.8896 0.5000 0.1104  3 Pd 2.62-2.74, 4 Au 2.71-2.78
Pd9 0.3438 0.3438 0.1043  4 Pd 2.74-2.84, 4 Au 2.80-2.87, 1 Pm 2.82
Pd10 0.8957 0.6562 0.6562  4 Pd 2.74-2.84, 4 Au 2.80-2.87, 1 Pm 2.82
Pd11 0.3438 0.1043 0.3438  4 Pd 2.74-2.84, 4 Au 2.80-2.87, 1 Pm 2.82
Pd12 0.5000 0.8896 0.1104  3 Pd 2.62-2.74, 4 Au 2.71-2.78
Pm1 0.0000 0.0000 0.0000  6 Pd 2.82
Au1 0.3048 0.3048 0.7001  8 Pd 2.71-2.87, 2 Au 2.93
Au2 0.6952 0.6952 0.2999  8 Pd 2.71-2.87, 2 Au 2.93
Au3 0.6952 0.2999 0.6952  8 Pd 2.71-2.87, 2 Au 2.93
Au4 0.2999 0.6952 0.6952  8 Pd 2.71-2.87, 2 Au 2.93
Au5 0.3048 0.7001 0.3048  8 Pd 2.71-2.87, 2 Au 2.93
Au6 0.7001 0.3048 0.3048  8 Pd 2.71-2.87, 2 Au 2.93

***

Nd7ErMg2: relaxed, GGA-PBE.

## Properties
Symmetry: Cmmm (65)
ΔH_f (0 K): 0.516 eV/atom

Cell: 5.3432 9.4882 9.4882 Å, 124.14 90.00 90.00°
Last column: nearest neighbours and their distance in Å.
Fractional positions:
Nd1 0.5000 0.9298 0.7022  2 Mg 3.17-3.50, 4 Nd 3.27-3.54
Nd2 0.0000 0.7882 0.2118  2 Mg 3.04
Nd3 0.5000 0.7022 0.9298  2 Mg 3.17-3.50, 4 Nd 3.27-3.54
Nd4 0.5000 0.2978 0.0702  2 Mg 3.17-3.50, 4 Nd 3.27-3.54
Nd5 0.5000 0.0702 0.2978  2 Mg 3.17-3.50, 4 Nd 3.27-3.54
Nd6 0.0000 0.2118 0.7882  2 Mg 3.04
Nd7 0.5000 0.5000 0.5000  2 Mg 3.38, 4 Nd 3.40
Er1 0.0000 0.0000 0.0000  10 Nd 3.55-3.67
Mg1 0.5000 0.2985 0.7015  5 Nd 3.04-3.38
Mg2 0.5000 0.7015 0.2985  5 Nd 3.04-3.38

***

LaAgMo2Ir: relaxed, GGA-PBE.

## Properties
Symmetry: P4/mmm (123)
ΔH_f (0 K): 0.970 eV/atom

Cell: 4.7957 5.5646 4.7957 Å, 90.00 90.00 90.00°
Last column: nearest neighbours and their distance in Å.
Fractional positions:
Ag1 0.5000 0.5000 0.5000  4 La 3.39, 8 Mo 3.67
Mo1 0.0000 0.0000 0.5000  2 Ir 2.40
Mo2 0.5000 0.0000 0.0000  2 Ir 2.40
La1 0.0000 0.5000 0.0000  2 Ir 2.78
Ir1 0.0000 0.0000 0.0000  4 Mo 2.40

***

ErTm6In: relaxed, GGA-PBE.

## Properties
E above lowest polymorph: 168 meV per atom
Symmetry: C2/m (12)
ΔH_f (0 K): 0.054 eV/atom

Cell: 6.5135 6.5135 9.1242 Å, 110.60 110.60 120.51°
Last column: nearest neighbours and their distance in Å.
Fractional positions:
Tm1 0.1898 0.1898 0.7505  1 Er 3.26, 1 In 3.26, 6 Tm 3.30-3.35
Tm2 0.2421 0.6781 0.2498  1 In 3.24, 1 Er 3.24, 6 Tm 3.31-3.35
Tm3 0.6781 0.2421 0.2498  1 In 3.24, 1 Er 3.24, 6 Tm 3.31-3.35
Tm4 0.7579 0.3219 0.7502  1 In 3.24, 1 Er 3.24, 6 Tm 3.31-3.35
Tm5 0.8102 0.8102 0.2495  1 Er 3.26, 1 In 3.26, 6 Tm 3.30-3.35
Tm6 0.3219 0.7579 0.7502  1 In 3.24, 1 Er 3.24, 6 Tm 3.31-3.35
In1 0.0000 0.0000 0.0000  2 Er 3.22, 6 Tm 3.24-3.26
Er1 0.5000 0.5000 0.5000  2 In 3.22, 6 Tm 3.24-3.26

***

CuSiTc2: relaxed, GGA-PBE.

## Properties
Total energy: -30.6 eV for the cell shown
Symmetry: Amm2 (38)

Cell: 3.9395 2.8078 5.0289 Å, 73.79 90.00 90.00°
Last column: nearest neighbours and their distance in Å.
Fractional positions:
Tc1 0.0000 0.9465 0.9826  3 Cu 2.51-2.71, 4 Si 2.66, 6 Tc 2.77-2.81
Tc2 0.5000 0.3068 0.2616  1 Si 2.46, 4 Cu 2.69
Cu1 0.0000 0.6863 0.5032  2 Si 2.31, 1 Tc 2.51
Si1 0.5000 0.5604 0.7526  2 Cu 2.31, 1 Tc 2.46

***

TlIn2F3: relaxed, GGA-PBE.

## Properties
E above lowest polymorph: 7 meV per atom
Symmetry: Pmc2_1 (26)

Cell: 3.5783 7.2224 10.2149 Å, 90.00 90.00 90.00°
Last column: nearest neighbours and their distance in Å.
Fractional positions:
Tl1 0.0000 0.3982 0.0368  3 F 2.66-2.97
Tl2 0.0000 0.8982 0.9632  3 F 2.66-2.97
F1 0.5000 0.6196 0.1497  1 In 2.22
F2 0.5000 0.1235 0.1730  2 In 2.39
F3 0.0000 0.3873 0.3270  3 In 2.34-2.44
F4 0.0000 0.8873 0.6730  3 In 2.34-2.44
F5 0.5000 0.6235 0.8270  2 In 2.39
F6 0.5000 0.1196 0.8503  1 In 2.22
In1 0.0000 0.5633 0.6772  3 F 2.34-2.39
In2 0.0000 0.0633 0.3228  3 F 2.34-2.39
In3 0.5000 0.6095 0.3672  3 F 2.22-2.44
In4 0.5000 0.1095 0.6328  3 F 2.22-2.44

***

YRhBr2: relaxed, GGA-PBE.

## Properties
E above lowest polymorph: 209 meV per atom
Symmetry: Immm (71)

Cell: 7.8319 7.8319 7.8319 Å, 150.41 150.26 42.45°
Last column: nearest neighbours and their distance in Å.
Fractional positions:
Rh1 0.7500 0.2500 0.5000  4 Y 2.84, 4 Br 2.89
Br1 0.8932 0.8932 0.0000  2 Rh 2.89, 2 Y 2.90
Br2 0.6068 0.6068 0.0000  2 Rh 2.89, 2 Y 2.90
Y1 0.2500 0.7500 0.5000  4 Rh 2.84, 4 Br 2.90